# PaCuPb2O8 PBE-GGA optimized geometry
data_PaCuPb2O8
_chemical_formula_sum 'Pa1 Cu1 Pb2 O8'
_cell_length_a 5.017
_cell_length_b 5.018
_cell_length_c 6.793
_cell_angle_alpha 84.94
_cell_angle_beta 85.27
_cell_angle_gamma 88.53
_space_group_name_H-M_alt 'P -1'
_space_group_IT_number 2
loop_
_space_group_symop_operation_xyz
'x,y,z'
'-x,-y,-z'
loop_
_atom_site_label
_atom_site_type_symbol
_atom_site_fract_x
_atom_site_fract_y
_atom_site_fract_z
Pa1 Pa 0.000 0.000 0.000
Cu1 Cu 0.000 0.000 0.500
Pb1 Pb 0.478 0.478 0.263
O1 O 0.158 0.181 0.270
O2 O 0.197 0.234 0.776
O3 O 0.302 0.734 0.494
O4 O 0.330 0.709 0.998
# Raw formation energy ... -1.447 eV/atom
# Total energy ... -6.5030 eV/atom



# PaCu2PdO8 PBE-GGA optimized geometry
data_PaCu2PdO8
_chemical_formula_sum 'Pa2 Cu4 Pd2 O16'
_cell_length_a 6.650
_cell_length_b 6.650
_cell_length_c 6.840
_cell_angle_alpha 90.00
_cell_angle_beta 90.00
_cell_angle_gamma 90.00
_space_group_name_H-M_alt 'I -4 m 2'
_space_group_IT_number 119
_space_group_name_Hall 'I -4 -2'
loop_
_atom_site_label
_atom_site_type_symbol
_atom_site_fract_x
_atom_site_fract_y
_atom_site_fract_z
Pa1 Pa 0.000 0.000 0.000
Cu1 Cu 0.000 0.000 0.500
Cu2 Cu 0.000 0.500 0.250
Pd1 Pd 0.000 0.500 0.750
O1 O 0.000 0.191 0.709
O2 O 0.000 0.317 0.054
# Raw formation energy ... -0.917 eV/atom
# Total energy ... -6.1293 eV/atom



# PaCu4Pd3O12 PBE-GGA optimized geometry
data_PaCu4Pd3O12
_chemical_formula_sum 'Pa2 Cu8 Pd6 O24'
_cell_length_a 7.485
_cell_length_b 7.485
_cell_length_c 7.485
_cell_angle_alpha 90.00
_cell_angle_beta 90.00
_cell_angle_gamma 90.00
_space_group_name_H-M_alt 'I m -3'
_space_group_IT_number 204
_space_group_name_Hall '-I 2 2 3'
loop_
_atom_site_label
_atom_site_type_symbol
_atom_site_fract_x
_atom_site_fract_y
_atom_site_fract_z
Pa1 Pa 0.000 0.000 0.000
Cu1 Cu 0.250 0.250 0.250
Pd1 Pd 0.000 0.000 0.500
O1 O 0.000 0.289 0.170
# Raw formation energy ... -0.901 eV/atom
# Total energy ... -5.9486 eV/atom